Y2ZnHPt, relaxed, DFT PBE; relative energy among the computed polymorphs = 36.8 meV/atom; symmetry = No. 123
1.0
-2.919 -3.823 0.608
3.725 -2.567 1.742
-0.822 1.184 3.502
H Pt Zn Y
1 1 1 2
Cartesian
0.000 0.000 0.000
-0.008 -2.603 2.926
-0.411 0.592 1.751
-1.460 -1.911 0.304
1.863 -1.284 0.871

TlPdAu4, relaxed, DFT PBE; symmetry = No. 216; calculated formation energy = 82 meV/atom
1.0
5.551 0.000 0.000
2.775 4.807 0.000
2.775 1.602 4.532
Au Tl Pd
4 1 1
Cartesian
6.942 4.008 2.834
4.160 4.008 2.834
5.551 1.599 2.834
5.551 3.205 0.563
2.775 1.602 1.133
0.000 0.000 0.000